No. 1
DFT (PBE) results for a relaxed structure of YBeTlFe.

a b c (Å): 4.7377 4.7377 4.7377
angles (deg): 60.00 60.00 60.00
Sites, in units of the cell vectors:
Y  0.0000  0.0000  0.0000
Be  0.7500  0.7500  0.7500
Tl  0.2500  0.2500  0.2500
Fe  0.5000  0.5000  0.5000

## Properties
Calculated total energy ... -4.88 eV/atom


No. 2
DFT (PBE) results for a relaxed structure of K2Pd2Pb2O7.

a b c (Å): 5.8789 5.8789 7.6703
angles (deg): 90.00 90.00 120.00
Sites, in units of the cell vectors:
K  0.3333  0.6667  0.0940
K  0.6667  0.3333  0.9060
Pd  0.0000  0.0000  0.2355
Pd  0.0000  0.0000  0.7645
Pb  0.3333  0.6667  0.5934
Pb  0.6667  0.3333  0.4066
O  0.0000  0.0000  0.5000
O  0.1261  0.7593  0.7994
O  0.2407  0.3668  0.7994
O  0.3668  0.1261  0.2006
O  0.6332  0.8739  0.7994
O  0.7593  0.6332  0.2006
O  0.8739  0.2407  0.2006

## Properties
Calculated total energy ... -4.83 eV/atom


No. 3
DFT (PBE) results for a relaxed structure of FePSe.

a b c (Å): 3.1620 5.7376 4.8811
angles (deg): 90.00 90.00 90.00
Sites, in units of the cell vectors:
Fe  0.0000  0.2369  0.0000
Fe  0.5000  0.7631  0.5000
P  0.0000  0.8927  0.2060
P  0.5000  0.1073  0.7060
Se  0.0000  0.6232  0.8306
Se  0.5000  0.3768  0.3306

## Properties
Calculated total energy ... -6.11 eV/atom